## Sr2Sc2I (PBE-GGA)

Data for an optimized crystal structure of Sr2Sc2I.

The structure in POSCAR format:
```
Sr2Sc2I
1.0
-2.3728 -1.1602 -3.1660
-1.7618 -2.8743 2.3737
-9.6665 5.1692 2.6654
Sr Sc I
2 2 1
direct
0.3910 0.3910 0.2180 Sr
0.6090 0.6090 0.7820 Sr
0.2500 0.7500 0.5000 Sc
0.7500 0.2500 0.5000 Sc
0.0000 0.0000 0.0000 I
```

offset from the most stable computed form: 0 meV/atom
spin magnetization: 0.001 μB per atom
crystal system: tetragonal
SG: I4/mmm

=====

## SrSc3I (PBE-GGA)

Data for an optimized crystal structure of SrSc3I.

The structure in POSCAR format:
```
SrSc3I
1.0
-4.3793 -1.2918 3.1163
3.3732 -1.7312 4.0228
0.0359 5.0885 2.1597
Sc Sr I
3 1 1
direct
0.0000 0.5000 0.0000 Sc
0.5000 0.0000 0.0000 Sc
0.0000 0.0000 0.5000 Sc
0.0000 0.0000 0.0000 Sr
0.5000 0.5000 0.5000 I
```

offset from the most stable computed form: 1002 meV/atom
spin magnetization: 0.000 μB per atom
crystal system: cubic
SG: Pm-3m

=====

## SrScI3 (PBE-GGA)

Data for an optimized crystal structure of SrScI3.

The structure in POSCAR format:
```
SrScI3
1.0
-6.1955 0.2060 -1.3380
0.0359 -6.2406 -1.1269
-1.3533 -1.1086 6.0956
I Sr Sc
3 1 1
direct
0.5000 0.0000 0.0000 I
0.0000 0.5000 0.0000 I
0.0000 0.0000 0.5000 I
0.0000 0.0000 0.0000 Sr
0.5000 0.5000 0.5000 Sc
```

offset from the most stable computed form: 307 meV/atom
spin magnetization: 0.400 μB per atom
crystal system: cubic
SG: Pm-3m

=====

## Sr2ScTcI (PBE-GGA)

Data for an optimized crystal structure of Sr2ScTcI.

The structure in POSCAR format:
```
Sr2ScTcI
1.0
6.5321 0.0000 0.0000
0.0000 4.4666 0.0000
0.0000 0.0000 6.5321
Sr I Tc Sc
2 1 1 1
direct
0.5000 0.0000 0.0000 Sr
0.0000 0.0000 0.5000 Sr
0.5000 0.5000 0.5000 I
0.0000 0.5000 0.0000 Tc
0.0000 0.0000 0.0000 Sc
```

spin magnetization: 0.013 μB per atom
crystal system: tetragonal
SG: P4/mmm

=====

## Sr2ScTiI (PBE-GGA)

Data for an optimized crystal structure of Sr2ScTiI.

The structure in POSCAR format:
```
Sr2ScTiI
1.0
6.1492 0.0000 0.0000
0.0000 5.3752 0.0000
0.0000 0.0000 6.1492
I Ti Sr Sc
1 1 2 1
direct
0.0000 0.0000 0.0000 I
0.5000 0.5000 0.5000 Ti
0.5000 0.0000 0.0000 Sr
0.0000 0.0000 0.5000 Sr
0.0000 0.5000 0.0000 Sc
```

spin magnetization: 0.836 μB per atom
crystal system: tetragonal
SG: P4/mmm

=====

## SrSc2ZnI (PBE-GGA)

Data for an optimized crystal structure of SrSc2ZnI.

The structure in POSCAR format:
```
SrSc2ZnI
1.0
5.1778 0.0000 0.0000
0.0000 5.1778 0.0000
0.0000 0.0000 6.1518
Sc Zn I Sr
2 1 1 1
direct
0.0000 0.5000 0.0000 Sc
0.5000 0.0000 0.0000 Sc
0.0000 0.0000 0.0000 Zn
0.5000 0.5000 0.5000 I
0.0000 0.0000 0.5000 Sr
```

spin magnetization: 0.171 μB per atom
crystal system: tetragonal
SG: P4/mmm

=====

## Sc2TaI (PBE-GGA)

Data for an optimized crystal structure of Sc2TaI.

The structure in POSCAR format:
```
Sc2TaI
1.0
4.3352 0.0000 0.0000
0.0000 4.3352 0.0000
2.1676 2.1676 9.9900
I Sc Ta
2 4 2
direct
0.5000 0.5000 0.0000 I
0.2500 0.7500 0.5000 I
0.6262 0.1250 0.2500 Sc
0.8750 0.8762 0.7500 Sc
0.3750 0.3738 0.7500 Sc
0.1238 0.6250 0.2500 Sc
0.0000 0.0000 0.0000 Ta
0.7500 0.2500 0.5000 Ta
```

offset from the most stable computed form: 450 meV/atom
spin magnetization: 0.000 μB per atom
crystal system: tetragonal
SG: I-42d

=====

## ScTa2I (PBE-GGA)

Data for an optimized crystal structure of ScTa2I.

The structure in POSCAR format:
```
ScTa2I
1.0
-3.4009 -0.4272 2.1714
-1.4023 -2.6638 -2.7204
2.0747 -9.4696 5.1773
I Ta Sc
2 4 2
direct
0.0000 0.0000 0.0000 I
0.7500 0.2500 0.5000 I
0.1277 0.6250 0.2500 Ta
0.8750 0.8723 0.7500 Ta
0.6223 0.1250 0.2500 Ta
0.3750 0.3777 0.7500 Ta
0.2500 0.7500 0.5000 Sc
0.5000 0.5000 0.0000 Sc
```

offset from the most stable computed form: 0 meV/atom
spin magnetization: 0.000 μB per atom
crystal system: tetragonal
SG: I-42d

=====

| no. | raw formation energy (eV/f.u.) |
| --- | --- |
| 1 | -0.854 |
| 2 | 6.226 |
| 3 | -2.816 |
| 4 | 2.130 |
| 5 | 2.726 |
| 6 | -0.043 |
| 7 | 2.740 |
| 8 | 2.528 |